5
Lattice="3.897 0.000 0.000 0.000 3.897 0.000 0.000 0.000 3.887" Properties=species:S:1:pos:R:3 comment="MnSiN2F, optimized geometry, DFT GGA+U" n_ef_per_ev_atom=0.2979 total_energy_ev_per_atom=-5.784 e_above_lowest_polymorph_mev_per_atom=1042 m_tot_mub_per_cell=2.052 pbc="T T T"
Mn 0.000 0.000 0.000
Si 1.949 1.949 1.943
N 0.000 1.949 0.000
N 1.949 0.000 0.000
F 0.000 0.000 1.943